No. 1
The following is a PBE calculation of a geometry-optimized Cs6HCl4 structure, from Alexandria.

Lattice parameters (Å, degrees): 14.2491 14.2491 16.7619 90.00 90.00 120.00
Space group R-3c (No. 167, hexagonal axes)
Asymmetric unit:
Cs 0.0254 0.1918 0.3907
H 0.0000 0.0000 0.0000
Cl 0.0000 0.0000 0.2500
Cl 0.0000 0.3818 0.2500

Output
total energy = -2.79 eV per atom

---

No. 2
The following is a PBE calculation of a geometry-optimized AlPdBr3 structure, from Alexandria.

Lattice parameters (Å, degrees): 5.098 5.098 5.098 90.00 90.00 90.00
Space group Pm-3m (No. 221)
Asymmetric unit:
Al 0.000 0.000 0.000
Pd 0.500 0.500 0.500
Br 0.000 0.000 0.500

Output
E above lowest polymorph = 0.29 eV per formula unit

---

No. 3
The following is a PBE calculation of a geometry-optimized MgReAu structure, from Alexandria.

Lattice parameters (Å, degrees): 3.647 4.106 13.245 90.00 90.00 90.00
Space group Fmm2 (No. 42)
Asymmetric unit:
Mg 0.000 0.000 0.000
Re 0.000 0.000 0.663
Au 0.000 0.000 0.333

Output
E_form = 0.200 eV per atom
E above lowest polymorph = 0.04 eV per formula unit

---

No. 4
The following is a PBE calculation of a geometry-optimized Mn2CrRu structure, from Alexandria.

Lattice parameters (Å, degrees): 3.717 3.717 7.189 90.00 90.00 90.00
Space group I4/mmm (No. 139)
Asymmetric unit:
Mn 0.000 0.500 0.250
Cr 0.000 0.000 0.000
Ru 0.000 0.000 0.500

Output
E_form = 0.103 eV per atom

---

No. 5
The following is a PBE calculation of a geometry-optimized Ca2CeHg3 structure, from Alexandria.

Lattice parameters (Å, degrees): 3.747 3.747 11.767 90.00 90.00 90.00
Space group P4/mmm (No. 123)
Asymmetric unit:
Ca 0.000 0.000 0.163
Ce 0.000 0.000 0.500
Hg 0.500 0.500 0.000
Hg 0.500 0.500 0.330

Output
E_form = -0.470 eV per atom

---

Going through the records in order, we get density of states at the Fermi level values of 0.264, 2.128, 0.167, 1.444, 1.754 states/eV/atom.